Entry 1:
# YTmCl PBE optimized geometry
data_YTmCl
_chemical_formula_sum 'Y1 Tm1 Cl1'
_space_group_name_H-M_alt 'P 3 m 1'
_space_group_IT_number 156
_cell_length_a 3.6530
_cell_length_b 3.6530
_cell_length_c 6.9065
_cell_angle_alpha 90.00
_cell_angle_beta 90.00
_cell_angle_gamma 120.00
loop_
_space_group_symop_operation_xyz
'x,y,z'
'-y,x-y,z'
'-x+y,-x,z'
'-y,-x,z'
'-x+y,y,z'
'x,x-y,z'
loop_
_atom_site_label
_atom_site_type_symbol
_atom_site_fract_x
_atom_site_fract_y
_atom_site_fract_z
_atom_site_occupancy
Y1 Y 0.0000 0.0000 0.0000 1
Tm1 Tm 0.6667 0.3333 0.3787 1
Cl1 Cl 0.3333 0.6667 0.6881 1
# Crystal system   trigonal
# V   80 Å³ per cell
# Total magnetization   0.062 μB/atom
# Distance to the lowest polymorph of the same formula   0 meV per atom
# Fermi-level density of states   1.229 states/eV/atom

=====

Entry 2:
# Sm4In3Rh PBE optimized geometry
data_Sm4In3Rh
_chemical_formula_sum 'Sm4 In3 Rh1'
_space_group_name_H-M_alt 'P 4/m m m'
_space_group_IT_number 123
_space_group_name_Hall '-P 4 2'
_cell_length_a 3.604
_cell_length_b 3.604
_cell_length_c 16.280
_cell_angle_alpha 90.00
_cell_angle_beta 90.00
_cell_angle_gamma 90.00
loop_
_atom_site_label
_atom_site_type_symbol
_atom_site_fract_x
_atom_site_fract_y
_atom_site_fract_z
_atom_site_occupancy
Sm1 Sm 0.000 0.000 0.103 1
Sm2 Sm 0.000 0.000 0.368 1
In1 In 0.500 0.500 0.238 1
In2 In 0.500 0.500 0.500 1
Rh1 Rh 0.500 0.500 0.000 1
# Crystal system   tetragonal
# V   211 Å³ per cell
# Total magnetization   0.000 μB/atom
# Formation energy from the elements   -52.5 kJ/mol of atoms
# Fermi-level density of states   0.648 states/eV/atom

=====

Entry 3:
# BaHgOs2 PBE optimized geometry
data_BaHgOs2
_chemical_formula_sum 'Ba2 Hg2 Os4'
_space_group_name_H-M_alt 'C m m m'
_space_group_IT_number 65
_space_group_name_Hall '-C 2 2'
_cell_length_a 3.164
_cell_length_b 5.049
_cell_length_c 10.089
_cell_angle_alpha 90.00
_cell_angle_beta 90.00
_cell_angle_gamma 90.00
loop_
_atom_site_label
_atom_site_type_symbol
_atom_site_fract_x
_atom_site_fract_y
_atom_site_fract_z
_atom_site_occupancy
Ba1 Ba 0.000 0.000 0.000 1
Hg1 Hg 0.000 0.000 0.500 1
Os1 Os 0.000 0.500 0.270 1
# Crystal system   orthorhombic
# V   161 Å³ per cell
# Total magnetization   0.000 μB/atom
# Formation energy from the elements   135.8 kJ/mol of atoms
# Fermi-level density of states   1.102 states/eV/atom

=====

Entry 4:
# TaSnPtI2 PBE optimized geometry
data_TaSnPtI2
_chemical_formula_sum 'Ta1 Sn1 Pt1 I2'
_space_group_name_H-M_alt 'P 4/m m m'
_space_group_IT_number 123
_space_group_name_Hall '-P 4 2'
_cell_length_a 5.437
_cell_length_b 5.437
_cell_length_c 5.204
_cell_angle_alpha 90.00
_cell_angle_beta 90.00
_cell_angle_gamma 90.00
loop_
_atom_site_label
_atom_site_type_symbol
_atom_site_fract_x
_atom_site_fract_y
_atom_site_fract_z
_atom_site_occupancy
Ta1 Ta 0.000 0.000 0.000 1
Sn1 Sn 0.500 0.500 0.000 1
Pt1 Pt 0.500 0.500 0.500 1
I1 I 0.000 0.500 0.500 1
# Crystal system   tetragonal
# V   154 Å³ per cell
# Total magnetization   0.637 μB/atom
# Total DFT energy (no corrections)   -19.35 eV/f.u.
# Fermi-level density of states   0.962 states/eV/atom

=====

Q: Look up the V of the third one.
A: 161 Å³ per cell

=====

Q: What is the formula in the fourth record?
A: TaSnPtI2